The following is a DFT calculation (SCAN) of a crystal of BaReRu3 relaxed with PBEsol.

POSCAR file:
```
BaReRu3
1.0
-2.1793 -0.9032 4.1437
-3.4297 -2.3650 -2.3193
2.4946 -4.0406 0.4313
Re Ba Ru
1 1 3
Direct
0.5000 0.5000 0.5000
0.0000 0.0000 0.0000
0.0000 0.5000 0.0000
0.0000 0.0000 0.5000
0.5000 0.0000 0.0000
```

Crystal system: cubic
D(E_F): 1.079 states/eV/atom
ΔH_f (0 K): 3.46 eV/atom
SG: No. 221
Total energy: -39.563 eV per atom


The following is a DFT calculation (SCAN) of a crystal of Ba2Re6S11 relaxed with PBEsol.

POSCAR file:
```
Ba2Re6S11
1.0
9.0972 0.0000 0.0000
4.5486 7.8784 0.0000
4.5486 2.6261 10.6557
Ba Re S
4 12 22
Direct
0.6881 0.6881 0.9356
0.8119 0.8119 0.5644
0.3119 0.3119 0.0644
0.1881 0.1881 0.4356
0.5100 0.3812 0.3983
0.7105 0.5100 0.3983
0.0100 0.2105 0.8983
0.8812 0.0100 0.8983
0.2105 0.8812 0.8983
0.6188 0.2895 0.6017
0.4900 0.6188 0.6017
0.2895 0.4900 0.6017
0.3812 0.7105 0.3983
0.7895 0.1188 0.1017
0.1188 0.9900 0.1017
0.9900 0.7895 0.1017
0.9090 0.9090 0.2729
0.5910 0.5910 0.2271
0.0910 0.0910 0.7271
0.4090 0.4090 0.7729
0.4854 0.7500 0.7500
0.0146 0.4854 0.7500
0.7500 0.0146 0.7500
0.5146 0.2500 0.2500
0.9854 0.5146 0.2500
0.2500 0.9854 0.2500
0.6886 0.9246 0.0920
0.2948 0.6886 0.0920
0.9246 0.2948 0.0920
0.2052 0.5754 0.4080
0.8114 0.2052 0.4080
0.5754 0.8114 0.4080
0.4246 0.1886 0.5920
0.1886 0.7948 0.5920
0.7948 0.4246 0.5920
0.0754 0.7052 0.9080
0.7052 0.3114 0.9080
0.3114 0.0754 0.9080
```

Crystal system: trigonal
SG: No. 167
Total energy: -33.176 eV per atom


The following is a DFT calculation (SCAN) of a crystal of BaRe2SeS relaxed with PBEsol.

POSCAR file:
```
BaRe2SeS
1.0
4.5504 0.0000 0.0000
0.0000 4.5504 0.0000
0.0000 0.0000 6.0481
Re S Ba Se
2 1 1 1
Direct
0.0000 0.5000 0.0000
0.5000 0.0000 0.0000
0.0000 0.0000 0.5000
0.5000 0.5000 0.5000
0.0000 0.0000 0.0000
```

Crystal system: tetragonal
D(E_F): 0.808 states/eV/atom
SG: No. 123
Total energy: -41.342 eV per atom


The following is a DFT calculation (SCAN) of a crystal of Ba3ReSb relaxed with PBEsol.

POSCAR file:
```
Ba3ReSb
1.0
6.4640 0.0000 0.0000
0.0000 6.4640 0.0000
0.0000 0.0000 6.4640
Re Ba Sb
1 3 1
Direct
0.5000 0.5000 0.5000
0.0000 0.5000 0.0000
0.0000 0.0000 0.5000
0.5000 0.0000 0.0000
0.0000 0.0000 0.0000
```

Crystal system: cubic
D(E_F): 1.021 states/eV/atom
SG: No. 221
Total energy: -44.553 eV per atom


The following is a DFT calculation (SCAN) of a crystal of Ba2ScRe relaxed with PBEsol.

POSCAR file:
```
Ba2ScRe
1.0
-2.5380 2.3029 1.2476
-2.6988 -2.3711 -1.1135
0.7963 -4.6478 7.9672
Ba Re Sc
2 1 1
Direct
0.0241 0.0000 0.9264
0.5568 0.5000 0.3289
0.9558 0.0000 0.5747
0.4633 0.5000 0.6700
```

Crystal system: monoclinic
D(E_F): 0.892 states/eV/atom
Offset from the most stable computed form: 0 meV/atom
ΔH_f (0 K): 0.51 eV/atom
SG: No. 6
Total energy: -40.595 eV per atom


The following is a DFT calculation (SCAN) of a crystal of BaScRe2 relaxed with PBEsol.

POSCAR file:
```
BaScRe2
1.0
2.8350 0.0000 0.0000
0.0000 5.4229 0.0000
0.0000 -2.7115 5.1503
Ba Re Sc
1 2 1
Direct
0.5000 0.5000 0.0000
0.0000 0.0000 0.5000
0.0000 0.5000 0.5000
0.5000 0.0000 0.0000
```

Crystal system: orthorhombic
D(E_F): 1.040 states/eV/atom
Offset from the most stable computed form: 280 meV/atom
ΔH_f (0 K): 1.24 eV/atom
SG: No. 65
Total energy: -47.753 eV per atom


- Which of these has the highest total energy?
  Ba2Re6S11


- What is the total energy in the sixth record?
  -47.753 eV per atom